# 1
16
Lattice="1.7177 -5.6801 0.0000 1.7177 5.6801 0.0000 0.0000 0.0000 11.2726" Properties=species:S:1:pos:R:3 comment="PBE CaNp2FeN4, relaxed" formation_energy_uncorrected_ev_per_atom=-0.94 pbc="T T T"
Ca 1.7177 4.5739 8.4544
Ca 1.7177 -4.5739 2.8181
Np 1.7177 1.4773 6.2803
Np 1.7177 1.4773 10.6286
Np 1.7177 -1.4773 0.6440
Np 1.7177 -1.4773 4.9923
Fe 1.7177 3.7568 2.8181
Fe 1.7177 -3.7568 8.4544
N 0.0000 0.0000 0.0000
N 0.0000 0.0000 5.6363
N 1.7177 2.6843 1.2006
N 1.7177 2.6843 4.4357
N 1.7177 0.7505 8.4544
N 1.7177 -0.7505 2.8181
N 1.7177 -2.6843 6.8369
N 1.7177 -2.6843 10.0719


# 2
12
Lattice="6.3974 0.0000 0.0000 3.1790 8.0725 0.0000 3.1977 -0.4668 8.0710" Properties=species:S:1:pos:R:3 comment="PBE AcPm8Dy3, relaxed" e_form_ev_per_atom=0.036 pbc="T T T"
Ac 0.0000 0.0000 0.0000
Pm 10.6558 7.1885 3.4121
Pm 3.1921 1.2845 1.3657
Pm 4.2626 4.6454 0.7133
Pm 4.2740 0.4362 4.6831
Pm 6.4041 5.0378 5.3429
Pm 6.4126 2.5653 2.7245
Pm 9.5724 6.3184 6.7089
Pm 10.6612 2.9884 7.3850
Dy 7.4555 1.7059 6.0435
Dy 7.4464 5.9275 2.0501
Dy 9.5737 3.8032 4.0366


# 3
5
Lattice="5.3000 0.0000 0.0000 0.0000 5.3000 0.0000 0.0000 0.0000 5.3004" Properties=species:S:1:pos:R:3 comment="PBE NaSb2TeRu, relaxed" formation_energy_uncorrected_ev_per_atom=1.41 e_above_lowest_polymorph_ev_per_fu=6.42 pbc="T T T"
Na 0.0000 0.0000 0.0000
Sb 0.0000 2.6500 0.0000
Sb 2.6500 0.0000 0.0000
Te 0.0000 0.0000 2.6502
Ru 2.6500 2.6500 2.6502


# 4
8
Lattice="2.7273 1.5746 9.1159 -2.7273 1.5746 9.1159 0.0000 -3.1492 9.1159" Properties=species:S:1:pos:R:3 comment="PBE Sm4DyIn3, relaxed" e_form_ev_per_atom=-0.325 pbc="T T T"
Sm 0.0000 0.0000 3.1860
Sm 0.0000 0.0000 10.1084
Sm 0.0000 0.0000 17.2393
Sm 0.0000 0.0000 24.1617
Dy 0.0000 0.0000 13.6738
In 0.0000 0.0000 0.0000
In 0.0000 0.0000 6.5539
In 0.0000 0.0000 20.7938


# 5
10
Lattice="6.3381 0.0000 0.0000 0.0000 3.8048 0.0000 -2.7397 0.0000 8.1429" Properties=species:S:1:pos:R:3 comment="PBE PuHCl2O, relaxed" energy_ev_per_atom=-7.11 pbc="T T T"
Pu -0.5346 0.9512 2.0278
Pu 4.1330 2.8536 6.1151
H 1.6233 2.8536 2.5921
H 1.9751 0.9512 5.5508
Cl -0.2349 0.9512 4.9901
Cl -1.2620 0.9512 8.1099
Cl 4.8604 2.8536 0.0330
Cl 3.8333 2.8536 3.1528
O 0.6474 2.8536 2.4564
O 2.9510 0.9512 5.6865


# 6
6
Lattice="3.1132 0.0000 0.0000 0.0000 4.9056 0.0000 -1.3429 0.0000 11.3255" Properties=species:S:1:pos:R:3 comment="PBE KVHg, relaxed" e_form_ev_per_atom=0.397 e_above_lowest_polymorph_ev_per_fu=0.30 pbc="T T T"
K 0.0000 0.0000 0.0000
K 0.0103 0.0000 4.4687
V -0.3529 2.4528 8.6891
V 1.9358 2.4528 7.0251
Hg 0.8484 0.0000 7.9338
Hg 1.5631 2.4528 2.2403


# 7
5
Lattice="4.6028 0.0000 0.0000 0.0000 4.6028 0.0000 0.0000 0.0000 5.0199" Properties=species:S:1:pos:R:3 comment="PBE TiGe2RhS, relaxed" formation_energy_uncorrected_ev_per_atom=0.18 pbc="T T T"
Ti 0.0000 0.0000 0.0000
Ge 0.0000 2.3014 2.5100
Ge 2.3014 0.0000 2.5100
Rh 0.0000 0.0000 2.5100
S 2.3014 2.3014 0.0000


# 8
9
Lattice="6.9771 -3.6459 0.0000 6.9771 3.6459 0.0000 -0.6668 0.0000 2.9926" Properties=species:S:1:pos:R:3 comment="PBE Zr2GaRh6, relaxed" e_form_ev_per_atom=-0.348 pbc="T T T"
Zr 2.1311 0.0000 0.4859
Zr 11.1564 0.0000 2.5067
Ga 6.6438 0.0000 1.4963
Rh 4.4286 1.4527 0.9957
Rh 6.9771 2.0180 0.0000
Rh 8.8589 1.4527 1.9969
Rh 4.4286 -1.4527 0.9957
Rh 6.9771 -2.0180 0.0000
Rh 8.8589 -1.4527 1.9969